No. 1
K2BeTe: optimized geometry, PBE.

Lattice parameters (Å, degrees): 8.1496 8.1496 8.1496 90.00 90.00 90.00
Fractional positions:
K 0.0000 0.0000 0.0000
K 0.0000 0.5000 0.5000
K 0.2500 0.2500 0.2500
K 0.2500 0.7500 0.7500
K 0.5000 0.0000 0.5000
K 0.5000 0.5000 0.0000
K 0.7500 0.2500 0.7500
K 0.7500 0.7500 0.2500
Be 0.0000 0.0000 0.5000
Be 0.0000 0.5000 0.0000
Be 0.5000 0.0000 0.0000
Be 0.5000 0.5000 0.5000
Te 0.2500 0.2500 0.7500
Te 0.2500 0.7500 0.2500
Te 0.7500 0.2500 0.2500
Te 0.7500 0.7500 0.7500

Computed properties:
E_form (uncorrected) ... 0.62 eV/f.u.
Relative energy among the computed polymorphs ... 0.324 eV per atom

No. 2
KBeTe2: optimized geometry, PBE.

Lattice parameters (Å, degrees): 5.7598 3.8272 12.7642 90.00 90.00 90.00
Fractional positions:
K 0.0000 0.0000 0.0000
K 0.0000 0.5000 0.5000
Be 0.5000 0.0000 0.2159
Be 0.5000 0.5000 0.7159
Te 0.5000 0.0000 0.5813
Te 0.5000 0.0000 0.8422
Te 0.5000 0.5000 0.0813
Te 0.5000 0.5000 0.3422

Computed properties:
E_form (uncorrected) ... -1.30 eV/f.u.

No. 3
KBe2Te: optimized geometry, PBE.

Lattice parameters (Å, degrees): 4.4236 4.4236 4.4841 90.00 90.00 90.00
Fractional positions:
K 0.0000 0.0000 0.0000
Be 0.0000 0.5000 0.5000
Be 0.5000 0.0000 0.5000
Te 0.5000 0.5000 0.0000

Computed properties:
E_form (uncorrected) ... 3.29 eV/f.u.

No. 4
KBe2Te: optimized geometry, PBE.

Lattice parameters (Å, degrees): 3.9021 7.0276 8.2003 90.00 90.00 90.00
Fractional positions:
K 0.0000 0.0000 0.0000
K 0.5000 0.5000 0.5000
Be 0.0000 0.0000 0.4332
Be 0.0000 0.5000 0.8265
Be 0.5000 0.0000 0.3265
Be 0.5000 0.5000 0.9332
Te 0.0000 0.5000 0.1228
Te 0.5000 0.0000 0.6228

Computed properties:
E_form (uncorrected) ... 1.34 eV/f.u.

No. 5
KBeTe: optimized geometry, PBE.

Lattice parameters (Å, degrees): 5.3427 5.3427 3.1954 90.00 90.00 120.00
Fractional positions:
K 0.0000 0.0000 0.0000
Be 0.3333 0.6667 0.5000
Te 0.6667 0.3333 0.5000

Computed properties:
E_form (uncorrected) ... 1.00 eV/f.u.
Relative energy among the computed polymorphs ... 0.512 eV per atom

No. 6
K4BeTe: optimized geometry, PBE.

Lattice parameters (Å, degrees): 7.2220 7.2220 7.2220 60.00 60.00 60.00
Fractional positions:
K 0.1235 0.1235 0.1235
K 0.1235 0.1235 0.6295
K 0.1235 0.6295 0.1235
K 0.6295 0.1235 0.1235
Be 0.5000 0.5000 0.5000
Te 0.7500 0.7500 0.7500

Computed properties:
E_form (uncorrected) ... 2.40 eV/f.u.

No. 7
KBeTe2: optimized geometry, PBE.

Lattice parameters (Å, degrees): 6.6533 3.8537 8.7900 90.00 104.75 90.00
Fractional positions:
K 0.0000 0.0000 0.0000
K 0.5000 0.5000 0.0000
Be 0.0000 0.5000 0.5000
Be 0.5000 0.0000 0.5000
Te 0.2253 0.0000 0.6766
Te 0.2747 0.5000 0.3234
Te 0.7253 0.5000 0.6766
Te 0.7747 0.0000 0.3234

Computed properties:
E_form (uncorrected) ... -1.09 eV/f.u.

No. 8
KBeTe: optimized geometry, PBE.

Lattice parameters (Å, degrees): 7.4436 7.4436 7.4436 90.00 90.00 90.00
Fractional positions:
K 0.0000 0.0000 0.0000
K 0.0000 0.5000 0.5000
K 0.5000 0.0000 0.5000
K 0.5000 0.5000 0.0000
Be 0.2500 0.2500 0.2500
Be 0.2500 0.7500 0.7500
Be 0.7500 0.2500 0.7500
Be 0.7500 0.7500 0.2500
Te 0.2500 0.2500 0.7500
Te 0.2500 0.7500 0.2500
Te 0.7500 0.2500 0.2500
Te 0.7500 0.7500 0.7500

Computed properties:
E_form (uncorrected) ... 2.11 eV/f.u.
Relative energy among the computed polymorphs ... 0.884 eV per atom

No. 9
KBeTlTe2: optimized geometry, PBE.

Lattice parameters (Å, degrees): 7.9165 5.2174 9.2972 90.00 91.65 90.00
Fractional positions:
K 0.0000 0.2138 0.2500
K 0.0000 0.7862 0.7500
Be 0.5000 0.5000 0.0000
Be 0.5000 0.5000 0.5000
Tl 0.5000 0.0998 0.2500
Tl 0.5000 0.9002 0.7500
Te 0.2581 0.3088 0.9296
Te 0.2581 0.6912 0.4296
Te 0.7419 0.3088 0.5704
Te 0.7419 0.6912 0.0704

Computed properties:
E_form (uncorrected) ... -2.03 eV/f.u.

No. 10
K3U3BeTe8: optimized geometry, PBE.

Lattice parameters (Å, degrees): 8.6892 8.6892 9.5266 114.24 114.24 63.74
Fractional positions:
K 0.0000 0.0000 0.0000
K 0.0000 0.5000 0.0000
K 0.5000 0.0000 0.0000
U 0.0000 0.5000 0.5000
U 0.5000 0.0000 0.5000
U 0.5000 0.5000 0.5000
Be 0.0000 0.0000 0.5000
Te 0.1864 0.1864 0.6674
Te 0.2487 0.7140 0.7141
Te 0.2617 0.2617 0.2876
Te 0.2860 0.7513 0.2859
Te 0.7140 0.2487 0.7141
Te 0.7383 0.7383 0.7124
Te 0.7513 0.2860 0.2859
Te 0.8136 0.8136 0.3326

Computed properties:
E_form (uncorrected) ... -10.09 eV/f.u.

No. 11
KTiBe3: optimized geometry, PBE.

Lattice parameters (Å, degrees): 4.4504 4.4504 4.4504 90.00 90.00 90.00
Fractional positions:
K 0.0000 0.0000 0.0000
Ti 0.5000 0.5000 0.5000
Be 0.0000 0.0000 0.5000
Be 0.0000 0.5000 0.0000
Be 0.5000 0.0000 0.0000

Computed properties:
Relative energy among the computed polymorphs ... 0.912 eV per atom
ΔH_f (0 K) ... 52.12 kcal/mol of atoms

No. 12
K2TiBe2: optimized geometry, PBE.

Lattice parameters (Å, degrees): 4.0352 4.0352 14.3789 90.00 90.00 90.00
Fractional positions:
K 0.0000 0.5000 0.2500
K 0.0000 0.5000 0.7500
K 0.5000 0.0000 0.2500
K 0.5000 0.0000 0.7500
Ti 0.0000 0.0000 0.0000
Ti 0.5000 0.5000 0.5000
Be 0.0000 0.0000 0.4309
Be 0.0000 0.0000 0.5691
Be 0.5000 0.5000 0.0691
Be 0.5000 0.5000 0.9309

Computed properties:
Relative energy among the computed polymorphs ... 0.183 eV per atom
ΔH_f (0 K) ... 27.87 kcal/mol of atoms

For the records above, the corresponding theoretical density values read 2.64; 3.58; 3.50; 2.73; 3.69; 1.83; 4.62; 2.83; 4.39; 5.47; 2.15; 2.04 g/cm³.